# TlSbI2Br

A geometry-optimized TlSbI2Br structure (GGA-PBE, Alexandria via LeMat-Bulk).

```
data_TlSbI2Br
_cell_length_a 5.909
_cell_length_b 5.909
_cell_length_c 6.120
_cell_angle_alpha 90.00
_cell_angle_beta 90.00
_cell_angle_gamma 90.00
_space_group_name_H-M_alt 'P 4/m m m'
_space_group_IT_number 123
_space_group_name_Hall '-P 4 2'
loop_
_atom_site_label
_atom_site_type_symbol
_atom_site_fract_x
_atom_site_fract_y
_atom_site_fract_z
Tl1 Tl 0.000 0.000 0.000
Sb1 Sb 0.000 0.000 0.500
I1 I 0.000 0.500 0.000
Br1 Br 0.500 0.500 0.500
```

Calculated values
N(E_F): 5.907 states/eV per cell
distance to the lowest polymorph of the same formula: 0.741 eV per atom
formation energy from raw total energies: 375 meV/atom
calculated total energy: -1.88 eV/atom

=====

# VSbI2Br

A geometry-optimized VSbI2Br structure (GGA-PBE, Alexandria via LeMat-Bulk).

```
data_VSbI2Br
_cell_length_a 5.732
_cell_length_b 5.732
_cell_length_c 5.858
_cell_angle_alpha 90.00
_cell_angle_beta 90.00
_cell_angle_gamma 90.00
_space_group_name_H-M_alt 'P 4/m m m'
_space_group_IT_number 123
_space_group_name_Hall '-P 4 2'
loop_
_atom_site_label
_atom_site_type_symbol
_atom_site_fract_x
_atom_site_fract_y
_atom_site_fract_z
V1 V 0.000 0.000 0.000
Sb1 Sb 0.500 0.500 0.000
I1 I 0.000 0.500 0.500
Br1 Br 0.500 0.500 0.500
```

Calculated values
N(E_F): 4.774 states/eV per cell
distance to the lowest polymorph of the same formula: 0.962 eV per atom
formation energy from raw total energies: 1101 meV/atom
calculated total energy: -2.50 eV/atom

=====

# VSbI2Br

A geometry-optimized VSbI2Br structure (GGA-PBE, Alexandria via LeMat-Bulk).

```
data_VSbI2Br
_cell_length_a 5.244
_cell_length_b 5.244
_cell_length_c 5.426
_cell_angle_alpha 90.00
_cell_angle_beta 90.00
_cell_angle_gamma 90.00
_space_group_name_H-M_alt 'P 4/m m m'
_space_group_IT_number 123
_space_group_name_Hall '-P 4 2'
loop_
_atom_site_label
_atom_site_type_symbol
_atom_site_fract_x
_atom_site_fract_y
_atom_site_fract_z
V1 V 0.000 0.000 0.000
Sb1 Sb 0.000 0.000 0.500
I1 I 0.000 0.500 0.000
Br1 Br 0.500 0.500 0.500
```

Calculated values
N(E_F): 4.531 states/eV per cell
distance to the lowest polymorph of the same formula: 0.000 eV per atom
formation energy from raw total energies: 139 meV/atom
calculated total energy: -3.46 eV/atom

=====

# SbWI2Br

A geometry-optimized SbWI2Br structure (GGA-PBE, Alexandria via LeMat-Bulk).

```
data_SbWI2Br
_cell_length_a 5.705
_cell_length_b 5.705
_cell_length_c 5.815
_cell_angle_alpha 90.00
_cell_angle_beta 90.00
_cell_angle_gamma 90.00
_space_group_name_H-M_alt 'P 4/m m m'
_space_group_IT_number 123
_space_group_name_Hall '-P 4 2'
loop_
_atom_site_label
_atom_site_type_symbol
_atom_site_fract_x
_atom_site_fract_y
_atom_site_fract_z
Sb1 Sb 0.000 0.000 0.000
W1 W 0.500 0.500 0.000
I1 I 0.000 0.500 0.500
Br1 Br 0.000 0.000 0.500
```

Calculated values
N(E_F): 5.868 states/eV per cell
distance to the lowest polymorph of the same formula: 1.279 eV per atom
formation energy from raw total energies: 1775 meV/atom
calculated total energy: -2.59 eV/atom